DFT (GGA+U) results for a relaxed structure of TlFeF3.

```
5
Lattice="-1.5679 -0.8753 3.8267 -2.5804 -2.8755 -1.7150 2.9583 -2.9722 0.5322" Properties=species:S:1:pos:R:3 pbc="T T T"
Tl -0.5951 -3.3615 1.3220
Fe 0.0000 0.0000 0.0000
F -1.2902 -1.4377 -0.8575
F 1.4791 -1.4861 0.2661
F -0.7840 -0.4377 1.9134
```

Results
Calculated total energy   -4.650 eV per atom
Volume   76 Å³ per cell